First-principles (GGA-PBE) data for a geometry-optimized Zn2FeP structure, as listed in the Alexandria database.

The energy relative to the elements is 0.2074 eV per atom. The value obtained for the density of states at the Fermi level is 2.5 states/eV/f.u.

Unit cell a=2.6197 b=2.6197 c=8.2243 alpha=90.00 beta=90.00 gamma=90.00
Closest atoms and distances in Å follow each position.
Space group P4/mmm (No. 123)
Asymmetric unit:
Zn  0.0000  0.0000  0.2243 x2  4 Fe 2.61, 4 Zn 2.62
Fe  0.5000  0.5000  0.0000 x1  8 Zn 2.61, 4 Fe 2.62
P  0.5000  0.5000  0.5000 x1  4 P 2.62, 8 Zn 2.93